Record 1
Material: KBe2Rh
Method: DFT, PBE-GGA
State: optimized geometry

- offset from the most stable computed form (meV per atom) = 444
- density of states at the Fermi level (states/eV/atom) = 0.38
- total moment (μB/atom) = 0.00
- calculated formation energy (meV/atom) = 371

Cell: 5.1189 5.1189 13.7317 Å, 90.00 90.00 90.00°
Space group I4_1/amd (No. 141, origin choice 2)
One atom of each set of equivalent atoms:
K1 0.0000 0.2500 0.3750
Be1 0.0000 0.0000 0.0000
Rh1 0.0000 0.2500 0.8750

---

Record 2
Material: Rb3Np2AgO9
Method: DFT, PBE-GGA
State: optimized geometry

- uncorrected formation energy (eV per atom) = -2.118
- total moment (μB/atom) = 0.00

Cell: 6.1820 6.1820 7.6647 Å, 90.00 90.00 120.00°
Space group P-3m1 (No. 164)
One atom of each set of equivalent atoms:
Rb1 0.0000 0.0000 0.0000
Rb2 0.3333 0.6667 0.6477
Np1 0.3333 0.6667 0.1576
Ag1 0.0000 0.0000 0.5000
O1 0.0000 0.5000 0.0000
O2 0.1839 0.3679 0.3035

---

Record 3
Material: CdCoPt5
Method: DFT, PBE-GGA
State: optimized geometry

- density of states at the Fermi level (states/eV/atom) = 1.25
- total moment (μB/atom) = 0.41
- calculated formation energy (meV/atom) = 29

Cell: 3.9755 3.9755 7.2695 Å, 90.00 90.00 90.00°
Space group P4/mmm (No. 123)
One atom of each set of equivalent atoms:
Cd1 0.0000 0.0000 0.0000
Co1 0.0000 0.0000 0.5000
Pt1 0.0000 0.5000 0.2881
Pt2 0.5000 0.5000 0.0000

---

Record 4
Material: AlTl2Os
Method: DFT, PBE-GGA
State: optimized geometry

- offset from the most stable computed form (meV per atom) = 527
- density of states at the Fermi level (states/eV/atom) = 0.64
- total moment (μB/atom) = 0.00
- calculated formation energy (meV/atom) = 766

Cell: 4.3080 4.3080 8.4286 Å, 90.00 90.00 90.00°
Space group I-4m2 (No. 119)
One atom of each set of equivalent atoms:
Al1 0.0000 0.0000 0.0000
Tl1 0.0000 0.0000 0.5000
Tl2 0.0000 0.5000 0.2500
Os1 0.0000 0.5000 0.7500

---

Record 5
Material: Pm2PaFe9
Method: DFT, PBE-GGA
State: optimized geometry

- density of states at the Fermi level (states/eV/atom) = 1.12
- total moment (μB/atom) = 1.46
- calculated formation energy (meV/atom) = 4

Cell: 5.0757 5.0757 16.7192 Å, 90.00 90.00 120.00°
Space group P6_3/mmc (No. 194)
One atom of each set of equivalent atoms:
Pm1 0.3333 0.6667 0.0379
Pa1 0.3333 0.6667 0.2500
Fe1 0.0000 0.0000 0.0000
Fe2 0.0000 0.0000 0.2500
Fe3 0.1655 0.3310 0.6299
Fe4 0.3333 0.6667 0.7500

---

Record 6
Material: Rb3TeRh
Method: DFT, PBE-GGA
State: optimized geometry

- uncorrected formation energy (eV per atom) = 0.153
- offset from the most stable computed form (meV per atom) = 0
- density of states at the Fermi level (states/eV/atom) = 0.45
- total moment (μB/atom) = 0.03

Cell: 5.7975 5.7975 5.7975 Å, 90.00 90.00 90.00°
Space group Pm-3m (No. 221)
One atom of each set of equivalent atoms:
Rb1 0.0000 0.0000 0.5000
Te1 0.5000 0.5000 0.5000
Rh1 0.0000 0.0000 0.0000

---

Record 7
Material: FePC
Method: DFT, PBE-GGA
State: optimized geometry

- offset from the most stable computed form (meV per atom) = 33
- density of states at the Fermi level (states/eV/atom) = 0.23
- total moment (μB/atom) = 0.02
- calculated formation energy (meV/atom) = 166

Cell: 2.7399 2.8388 16.2159 Å, 90.00 90.00 90.00°
Space group Amm2 (No. 38)
One atom of each set of equivalent atoms:
Fe1 0.0000 0.0000 0.0000
Fe2 0.0000 0.0000 0.1584
P1 0.0000 0.0000 0.3922
P2 0.5000 0.0000 0.5770
C1 0.5000 0.0000 0.2426
C2 0.5000 0.0000 0.3258

---

Record 8
Material: NaTmSn4
Method: DFT, PBE-GGA
State: optimized geometry

- density of states at the Fermi level (states/eV/atom) = 0.59
- total moment (μB/atom) = 0.00
- calculated formation energy (meV/atom) = -169

Cell: 8.7525 8.7525 8.7525 Å, 90.00 90.00 90.00°
Space group F-43m (No. 216)
One atom of each set of equivalent atoms:
Na1 0.0000 0.0000 0.0000
Tm1 0.2500 0.2500 0.7500
Sn1 0.1246 0.1246 0.3754

---

Record 9
Material: Na2Ti2Ga
Method: DFT, PBE-GGA
State: optimized geometry

- offset from the most stable computed form (meV per atom) = 274
- density of states at the Fermi level (states/eV/atom) = 1.04
- total moment (μB/atom) = 0.55
- calculated formation energy (meV/atom) = 809

Cell: 9.3647 9.3647 2.8391 Å, 90.00 90.00 90.00°
Space group P4/mbm (No. 127)
One atom of each set of equivalent atoms:
Na1 0.2008 0.2992 0.0000
Ti1 0.0878 0.5878 0.5000
Ga1 0.0000 0.0000 0.0000

---

Record 10
Material: PmNd3O6
Method: DFT, PBE-GGA
State: optimized geometry

- uncorrected formation energy (eV per atom) = -3.358
- offset from the most stable computed form (meV per atom) = 0
- density of states at the Fermi level (states/eV/atom) = 0.00
- total moment (μB/atom) = 0.00

Cell: 10.0876 10.0876 11.8402 Å, 90.00 90.00 120.00°
Space group R-3 (No. 148, hexagonal axes)
One atom of each set of equivalent atoms:
Pm1 0.0000 0.0000 0.0000
Pm2 0.0000 0.0000 0.5000
Nd1 0.0377 0.2652 0.2108
O1 0.0280 0.1867 0.8700
O2 0.0277 0.2193 0.4045

---

Record 11
Material: Te3SO
Method: DFT, PBE-GGA
State: optimized geometry

- uncorrected formation energy (eV per atom) = 0.973
- offset from the most stable computed form (meV per atom) = 451
- density of states at the Fermi level (states/eV/atom) = 1.42
- total moment (μB/atom) = 0.32

Cell: 5.2491 5.2491 5.2491 Å, 90.00 90.00 90.00°
Space group Pm-3m (No. 221)
One atom of each set of equivalent atoms:
Te1 0.0000 0.0000 0.5000
S1 0.0000 0.0000 0.0000
O1 0.5000 0.5000 0.5000

---

Record 12
Material: HoErAs
Method: DFT, PBE-GGA
State: optimized geometry

- offset from the most stable computed form (meV per atom) = 445
- density of states at the Fermi level (states/eV/atom) = 0.82
- total moment (μB/atom) = 0.00
- calculated formation energy (meV/atom) = -401

Cell: 3.3951 5.5338 16.6455 Å, 90.00 90.00 90.00°
Space group Immm (No. 71)
One atom of each set of equivalent atoms:
Ho1 0.0000 0.2489 0.0000
Er1 0.0000 0.0000 0.3265
As1 0.0000 0.0000 0.1573